1.
Compound: TaCrCoH2
Source: Alexandria via LeMat-Bulk
Functional: PBEsol
Structure: optimized geometry

```
TaCrCoH2
1.0
-1.111 -0.428 -3.183
3.210 -0.254 -1.086
-0.143 -4.721 0.684
Co H Cr Ta
1 2 1 1
direct
0.500 0.500 0.500
0.500 0.000 0.000
0.000 0.500 0.000
0.000 0.000 0.500
0.000 0.000 0.000
```

E_tot: -6.48 eV per atom
Space-group type: No. 123


2.
Compound: LiFePt2
Source: Alexandria via LeMat-Bulk
Functional: PBEsol
Structure: optimized geometry

```
LiFePt2
1.0
-1.716 0.627 -3.501
-1.516 -3.364 2.368
-3.479 0.515 1.798
Pt Fe Li
2 1 1
direct
0.750 0.500 0.750
0.250 0.500 0.250
0.000 0.000 0.000
0.500 0.000 0.500
```

E_tot: -6.55 eV per atom
Space-group type: No. 139


3.
Compound: SrS2N
Source: Alexandria via LeMat-Bulk
Functional: PBEsol
Structure: optimized geometry

```
SrS2N
1.0
-4.789 -0.077 -0.135
-2.273 -3.445 -2.433
-2.409 -3.406 2.356
S N Sr
2 1 1
direct
0.750 0.750 0.750
0.250 0.250 0.250
0.000 0.000 0.000
0.500 0.500 0.500
```

E_tot: -4.16 eV per atom
Space-group type: No. 225
Formation energy without anion corrections: 2.49 eV per formula unit


4.
Compound: TePI2Br
Source: Alexandria via LeMat-Bulk
Functional: PBEsol
Structure: optimized geometry

```
TePI2Br
1.0
-3.016 3.676 2.403
0.680 -2.488 4.661
4.319 2.932 0.935
P Te I Br
1 1 2 1
direct
0.000 0.000 0.000
0.000 0.000 0.500
0.500 0.000 0.000
0.000 0.500 0.000
0.500 0.500 0.500
```

E_tot: -2.61 eV per atom
Space-group type: No. 123
Formation energy without anion corrections: 1.69 eV per formula unit